Record 1
A relaxed CuN2Cl crystal. Source: Alexandria via LeMat-Bulk, functional PBE.

a b c (Å): 6.145 6.145 6.145
angles (deg): 29.20 29.20 29.20
Atoms (fractional coordinates):
Cu  0.000  0.000  0.000
N  0.103  0.103  0.103
N  0.897  0.897  0.897
Cl  0.500  0.500  0.500

The relative energy among the computed polymorphs is 714 meV/atom. The symmetry is R-3m.



Record 2
A relaxed CuN3Cl crystal. Source: Alexandria via LeMat-Bulk, functional PBE.

a b c (Å): 3.799 3.799 3.799
angles (deg): 90.00 90.00 90.00
Atoms (fractional coordinates):
N  0.500  0.000  0.000
N  0.000  0.500  0.000
N  0.000  0.000  0.500
Cl  0.500  0.500  0.500
Cu  0.000  0.000  0.000

The symmetry is Pm-3m.



Record 3
A relaxed CuN2Cl crystal. Source: Alexandria via LeMat-Bulk, functional PBE.

a b c (Å): 3.910 3.910 3.910
angles (deg): 60.00 60.00 60.00
Atoms (fractional coordinates):
Cu  0.500  0.500  0.500
N  0.750  0.750  0.750
N  0.250  0.250  0.250
Cl  0.000  0.000  0.000

The relative energy among the computed polymorphs is 1285 meV/atom. The symmetry is Fm-3m.



Record 4
A relaxed Cu2NCl crystal. Source: Alexandria via LeMat-Bulk, functional PBE.

a b c (Å): 5.040 5.040 5.907
angles (deg): 64.75 64.75 90.00
Atoms (fractional coordinates):
Cl  0.750  0.250  0.500
Cl  0.000  0.000  0.000
Cu  0.875  0.768  0.750
Cu  0.375  0.482  0.750
Cu  0.518  0.125  0.250
Cu  0.232  0.625  0.250
N  0.250  0.750  0.500
N  0.500  0.500  0.000

The relative energy among the computed polymorphs is 0 meV/atom. The symmetry is I-42d.



Record 5
A relaxed CuN2Cl crystal. Source: Alexandria via LeMat-Bulk, functional PBE.

a b c (Å): 5.850 5.850 5.850
angles (deg): 31.00 31.00 31.00
Atoms (fractional coordinates):
Cl  0.000  0.000  0.000
Cu  0.500  0.500  0.500
N  0.113  0.113  0.113
N  0.887  0.887  0.887

The relative energy among the computed polymorphs is 0 meV/atom. The symmetry is R-3m.



Record 6
A relaxed CuN3Cl crystal. Source: Alexandria via LeMat-Bulk, functional PBE.

a b c (Å): 3.718 3.718 3.718
angles (deg): 90.00 90.00 90.00
Atoms (fractional coordinates):
N  0.000  0.000  0.500
N  0.500  0.000  0.000
N  0.000  0.500  0.000
Cu  0.500  0.500  0.500
Cl  0.000  0.000  0.000

The symmetry is Pm-3m.



Record 7
A relaxed CuN6Cl2 crystal. Source: Alexandria via LeMat-Bulk, functional PBE.

a b c (Å): 5.588 5.588 5.588
angles (deg): 109.82 109.82 108.77
Atoms (fractional coordinates):
N  0.201  0.201  0.402
N  0.415  0.415  0.000
N  0.799  0.799  0.598
N  0.201  0.799  0.000
N  0.585  0.585  0.000
N  0.799  0.201  0.000
Cl  0.250  0.750  0.500
Cl  0.750  0.250  0.500
Cu  0.000  0.000  0.000

The symmetry is I4/mmm.



Record 8
A relaxed Cu2NCl crystal. Source: Alexandria via LeMat-Bulk, functional PBE.

a b c (Å): 4.124 4.124 4.124
angles (deg): 60.00 60.00 60.00
Atoms (fractional coordinates):
Cl  0.500  0.500  0.500
Cu  0.250  0.250  0.250
Cu  0.750  0.750  0.750
N  0.000  0.000  0.000

The relative energy among the computed polymorphs is 883 meV/atom. The symmetry is Fm-3m.



no.,uncorrected formation energy (eV/atom),magnetization (Bohr magnetons per cell)
1,1.941,0.000
2,2.605,0.000
3,2.513,0.000
4,0.218,0.000
5,1.228,0.000
6,2.929,2.313
7,2.098,4.950
8,1.101,2.000